! CrCd3Ir, optimized geometry, DFT PBE; values from VASP
! Size of the total moment ... 5.053 μB per formula unit
! ΔH_f (0 K) ... 0.74 eV/atom
! VASP energy ... -17.5 eV per cell
! Calculated volume ... 27.46 A^3/atom
! Polymorph energy (0 for the lowest one) ... 0.00 kcal/mol of atoms
&SYSTEM
  ibrav = 0, nat = 5, ntyp = 3
/
ATOMIC_SPECIES
Cr 52.00 Cr.upf
Ir 192.22 Ir.upf
Cd 112.41 Cd.upf
CELL_PARAMETERS angstrom
-0.2928 3.1015 -4.1120
1.1759 -3.9696 -3.0778
-5.0145 -1.1120 -0.4817
ATOMIC_POSITIONS crystal
Cr 0.5000 0.5000 0.5000
Ir 0.0000 0.0000 0.0000
Cd 0.5000 0.0000 0.0000
Cd 0.0000 0.0000 0.5000
Cd 0.0000 0.5000 0.0000

---

! Cr2CdIr, optimized geometry, DFT PBE; values from VASP
! Size of the total moment ... 0.001 μB per formula unit
! ΔH_f (0 K) ... 0.47 eV/atom
! VASP energy ... -27.1 eV per cell
! Calculated volume ... 14.55 A^3/atom
&SYSTEM
  ibrav = 0, nat = 4, ntyp = 3
/
ATOMIC_SPECIES
Cr 52.00 Cr.upf
Ir 192.22 Ir.upf
Cd 112.41 Cd.upf
CELL_PARAMETERS angstrom
5.1456 0.0034 0.0148
2.4113 4.5456 -0.0148
-3.3152 -3.0441 2.4941
ATOMIC_POSITIONS crystal
Cr 0.9902 0.9902 0.0000
Cr 0.5098 0.5098 0.0000
Ir 0.7500 0.2500 0.5000
Cd 0.2500 0.7500 0.5000

---

! Cr4CdIr, optimized geometry, DFT PBE; values from VASP
! Size of the total moment ... 0.000 μB per formula unit
! ΔH_f (0 K) ... 0.23 eV/atom
! VASP energy ... -46.9 eV per cell
! Calculated volume ... 13.32 A^3/atom
&SYSTEM
  ibrav = 0, nat = 6, ntyp = 3
/
ATOMIC_SPECIES
Cr 52.00 Cr.upf
Cd 112.41 Cd.upf
Ir 192.22 Ir.upf
CELL_PARAMETERS angstrom
3.0383 -2.6306 2.6889
-1.7218 -2.8424 3.5126
0.1274 -4.8079 -0.4998
ATOMIC_POSITIONS crystal
Cr 0.3723 0.8832 0.3723
Cr 0.8832 0.3723 0.3723
Cr 0.3723 0.3723 0.3723
Cr 0.3723 0.3723 0.8832
Cd 0.0000 0.0000 0.0000
Ir 0.7500 0.7500 0.7500